# 1
Density functional theory data (meta-GGA SCAN) for CaHgPb2 at its PBEsol-relaxed geometry.

```
CaHgPb2
1.0
3.7233 0.0000 0.0000
0.0000 5.3541 -0.6225
-1.8617 -2.0481 5.6960
Pb Ca Hg
2 1 1
direct
0.7509 0.2186 0.5019
0.9856 0.0223 0.9712
0.5152 0.5531 0.0304
0.2483 0.7060 0.4965
```

Fermi-level density of states ... 1.75 states/eV/f.u.
Space group ... Cm (8)
Calculated total energy ... -4.242 Ry per atom

# 2
Density functional theory data (meta-GGA SCAN) for TeAs2Br at its PBEsol-relaxed geometry.

```
TeAs2Br
1.0
-2.7271 -0.8787 1.9911
-2.7462 -1.4354 -4.3949
4.4673 -3.3379 1.5886
As Br Te
2 1 1
direct
0.2732 0.2732 0.5464
0.7268 0.7268 0.4536
0.5000 0.0000 0.0000
0.0000 0.5000 0.0000
```

Fermi-level density of states ... 2.48 states/eV/f.u.
Space group ... Immm (71)
Distance to the lowest polymorph of the same formula ... 0.229 eV per atom

# 3
Density functional theory data (meta-GGA SCAN) for ScRe4Ir at its PBEsol-relaxed geometry.

```
ScRe4Ir
1.0
-5.0937 -0.4798 -0.4520
-2.9308 -0.3382 4.2044
-3.0732 3.9017 1.3088
Re Ir Sc
4 1 1
direct
0.3753 0.3753 0.3753
0.3753 0.3753 0.8740
0.3753 0.8740 0.3753
0.8740 0.3753 0.3753
0.0000 0.0000 0.0000
0.7500 0.7500 0.7500
```

Fermi-level density of states ... 5.81 states/eV/f.u.
Space group ... F-43m (216)
Calculated total energy ... -4.525 Ry per atom

# 4
Density functional theory data (meta-GGA SCAN) for RbBN2 at its PBEsol-relaxed geometry.

```
RbBN2
1.0
5.0717 0.0000 0.0000
2.5358 4.3922 0.0000
2.5358 1.4641 4.1410
N B Rb
4 2 2
direct
0.1250 0.1250 0.1250
0.1250 0.6250 0.1250
0.6250 0.1250 0.1250
0.1250 0.1250 0.6250
0.0000 0.0000 0.0000
0.2500 0.2500 0.2500
0.5000 0.5000 0.5000
0.7500 0.7500 0.7500
```

Fermi-level density of states ... 2.15 states/eV/f.u.
Space group ... Fd-3m (227)
Calculated total energy ... -0.856 Ry per atom

# 5
Density functional theory data (meta-GGA SCAN) for AlTl2Ir at its PBEsol-relaxed geometry.

```
AlTl2Ir
1.0
4.0087 0.0000 0.0000
0.0000 4.0463 0.0000
0.0000 -2.0231 5.0212
Tl Ir Al
2 1 1
direct
0.5000 0.4009 0.8018
0.0000 0.0989 0.1978
0.5000 0.6841 0.3681
0.0000 0.8189 0.6377
```

Fermi-level density of states ... 1.99 states/eV/f.u.
Space group ... Amm2 (38)
Distance to the lowest polymorph of the same formula ... 0.248 eV per atom

# 6
Density functional theory data (meta-GGA SCAN) for Na2CrFeAu at its PBEsol-relaxed geometry.

```
Na2CrFeAu
1.0
-4.0011 0.3723 0.8398
-1.1381 -0.5692 -5.1701
-0.3524 -5.2718 0.6580
Au Na Cr Fe
1 2 1 1
direct
0.5000 0.5000 0.5000
0.0000 0.5000 0.0000
0.0000 0.0000 0.5000
0.0000 0.0000 0.0000
0.5000 0.0000 0.0000
```

Fermi-level density of states ... 2.91 states/eV/f.u.
Space group ... P4/mmm (123)
Calculated total energy ... -1.605 Ry per atom

# 7
Density functional theory data (meta-GGA SCAN) for AlPd5 at its PBEsol-relaxed geometry.

```
AlPd5
1.0
3.9556 0.0000 0.0000
0.0000 8.0689 0.0000
0.0000 0.0000 10.7389
Pd Al
20 4
direct
0.2500 0.2179 0.2979
0.2500 0.5480 0.3331
0.7500 0.7821 0.7021
0.7500 0.0480 0.1669
0.2500 0.9279 0.5692
0.7500 0.3879 0.1837
0.2500 0.2821 0.7979
0.7500 0.1121 0.6837
0.2500 0.6121 0.8163
0.7500 0.7209 0.4552
0.2500 0.8879 0.3163
0.2500 0.2791 0.5448
0.2500 0.9520 0.8331
0.2500 0.2209 0.0448
0.7500 0.4279 0.9308
0.2500 0.5721 0.0692
0.7500 0.7791 0.9552
0.7500 0.0721 0.4308
0.7500 0.4520 0.6669
0.7500 0.7179 0.2021
0.7500 0.3884 0.4213
0.7500 0.1116 0.9213
0.2500 0.6116 0.5787
0.2500 0.8884 0.0787
```

Fermi-level density of states ... 3.98 states/eV/f.u.
Space group ... Pnma (62)
Calculated total energy ... -2.140 Ry per atom

# 8
Density functional theory data (meta-GGA SCAN) for LiBIr at its PBEsol-relaxed geometry.

```
LiBIr
1.0
-5.0092 1.8936 -1.2702
-0.2036 -4.2514 3.4893
2.8310 4.4786 2.9240
Ir Li B
4 4 4
direct
0.3827 0.8827 0.7654
0.1173 0.6173 0.2346
0.8673 0.8673 0.7346
0.1327 0.1327 0.2654
0.6250 0.3750 0.7500
0.6250 0.3750 0.2500
0.1250 0.3750 0.7500
0.6250 0.8750 0.2500
0.8231 0.1769 0.0000
0.4269 0.5731 0.5000
0.0731 0.9269 0.5000
0.1769 0.8231 0.0000
```

Fermi-level density of states ... 0.32 states/eV/f.u.
Space group ... Fddd (70)
Calculated total energy ... -2.027 Ry per atom